FeSiCN GGA-PBE optimized geometry; volume = 8.7 A^3/atom; formation energy from raw total energies = 0.292 eV/atom; ρ = 5.25 g/cm³; crystal system = orthorhombic; calculated total energy = -7.57 eV/atom; energy relative to the lowest polymorph listed for this composition = 382 meV per atom
1.0
3.902 0.000 0.000
0.000 3.023 -0.001
3.904 -2.358 2.949
N Si Fe C
1 1 1 1
Direct
0.788 0.908 0.846
0.400 0.685 0.235
0.392 0.701 0.742
0.789 0.907 0.346